NaCr2Cu: PBEsol geometry, SCAN.

Cell: 4.529 4.529 4.529 Å, 60.00 60.00 60.00°
Atoms (fractional coordinates):
1 Na 0.000 0.000 0.000
2 Cr 0.250 0.250 0.250
3 Cr 0.750 0.750 0.750
4 Cu 0.500 0.500 0.500

Values from the calculation:
Density of states at the Fermi level (states/eV per atom): 0.38
E_form (eV per atom): 0.664

Cr2CuNi: PBEsol geometry, SCAN.

Cell: 4.313 4.313 4.313 Å, 130.59 130.59 72.47°
Atoms (fractional coordinates):
1 Cr 0.000 0.000 0.000
2 Cr 0.750 0.250 0.500
3 Cu 0.500 0.500 0.000
4 Ni 0.250 0.750 0.500

Values from the calculation:
Density of states at the Fermi level (states/eV per atom): 1.15
E_form (eV per atom): 0.076

CrCu2Ni: PBEsol geometry, SCAN.

Cell: 4.475 4.475 4.475 Å, 133.90 133.90 67.24°
Atoms (fractional coordinates):
1 Cr 0.000 0.000 0.000
2 Cu 0.250 0.750 0.500
3 Cu 0.750 0.250 0.500
4 Ni 0.500 0.500 0.000

Values from the calculation:
Density of states at the Fermi level (states/eV per atom): 0.83
E_form (eV per atom): 0.096

CrCuNi6: PBEsol geometry, SCAN.

Cell: 6.012 6.012 9.837 Å, 90.00 90.00 109.41°
Atoms (fractional coordinates):
1 Cr 0.000 0.000 0.243
2 Cr 0.000 0.000 0.757
3 Cr 0.247 0.753 0.500
4 Cr 0.753 0.247 0.500
5 Cu 0.252 0.748 0.000
6 Cu 0.500 0.500 0.250
7 Cu 0.500 0.500 0.750
8 Cu 0.748 0.252 0.000
9 Ni 0.000 0.000 0.000
10 Ni 0.000 0.000 0.500
11 Ni 0.121 0.373 0.377
12 Ni 0.121 0.373 0.623
13 Ni 0.122 0.370 0.127
14 Ni 0.122 0.370 0.873
15 Ni 0.248 0.752 0.254
16 Ni 0.248 0.752 0.746
17 Ni 0.370 0.122 0.127
18 Ni 0.370 0.122 0.873
19 Ni 0.373 0.121 0.377
20 Ni 0.373 0.121 0.623
21 Ni 0.500 0.500 0.000
22 Ni 0.500 0.500 0.500
23 Ni 0.627 0.879 0.377
24 Ni 0.627 0.879 0.623
25 Ni 0.630 0.878 0.127
26 Ni 0.630 0.878 0.873
27 Ni 0.752 0.248 0.254
28 Ni 0.752 0.248 0.746
29 Ni 0.878 0.630 0.127
30 Ni 0.878 0.630 0.873
31 Ni 0.879 0.627 0.377
32 Ni 0.879 0.627 0.623

Values from the calculation:
Density of states at the Fermi level (states/eV per atom): 1.04
E_form (eV per atom): 0.028

Cr2CuNi: PBEsol geometry, SCAN.

Cell: 2.911 2.911 5.307 Å, 90.00 90.00 90.00°
Atoms (fractional coordinates):
1 Cr 0.000 0.000 0.000
2 Cr 0.500 0.500 0.234
3 Cu 0.000 0.000 0.504
4 Ni 0.500 0.500 0.743

Values from the calculation:
Density of states at the Fermi level (states/eV per atom): 0.55
E_form (eV per atom): 0.051

Cr2CuNi: PBEsol geometry, SCAN.

Cell: 4.519 4.519 4.519 Å, 136.22 136.22 63.63°
Atoms (fractional coordinates):
1 Cr 0.250 0.750 0.500
2 Cr 0.750 0.250 0.500
3 Cu 0.000 0.000 0.000
4 Ni 0.500 0.500 0.000

Values from the calculation:
Density of states at the Fermi level (states/eV per atom): 1.24
E_form (eV per atom): 0.225

Cr3CuNi: PBEsol geometry, SCAN.

Cell: 4.417 4.417 4.417 Å, 90.00 90.00 90.00°
Atoms (fractional coordinates):
1 Cr 0.000 0.000 0.500
2 Cr 0.000 0.500 0.000
3 Cr 0.500 0.000 0.000
4 Cu 0.000 0.000 0.000
5 Ni 0.500 0.500 0.500

Values from the calculation:
Density of states at the Fermi level (states/eV per atom): 1.47
E_form (eV per atom): 1.386

CrCu2NiS: PBEsol geometry, SCAN.

Cell: 4.401 4.401 4.009 Å, 90.00 90.00 90.00°
Atoms (fractional coordinates):
1 Cr 0.000 0.000 0.000
2 Cu 0.000 0.500 0.500
3 Cu 0.500 0.000 0.500
4 Ni 0.500 0.500 0.500
5 S 0.500 0.500 0.000

Values from the calculation:
Density of states at the Fermi level (states/eV per atom): 0.52

Cr8Cu3NiS16: PBEsol geometry, SCAN.

Cell: 11.814 11.814 11.814 Å, 33.50 33.50 33.50°
Atoms (fractional coordinates):
1 Cr 0.000 0.000 0.000
2 Cr 0.246 0.751 0.751
3 Cr 0.253 0.253 0.745
4 Cr 0.253 0.745 0.253
5 Cr 0.498 0.498 0.498
6 Cr 0.745 0.253 0.253
7 Cr 0.751 0.246 0.751
8 Cr 0.751 0.751 0.246
9 Cu 0.187 0.187 0.187
10 Cu 0.312 0.312 0.312
11 Cu 0.687 0.687 0.687
12 Ni 0.812 0.812 0.812
13 S 0.113 0.113 0.643
14 S 0.113 0.643 0.113
15 S 0.121 0.121 0.121
16 S 0.134 0.619 0.619
17 S 0.356 0.887 0.887
18 S 0.378 0.378 0.378
19 S 0.386 0.386 0.854
20 S 0.386 0.854 0.386
21 S 0.619 0.134 0.619
22 S 0.619 0.619 0.134
23 S 0.620 0.620 0.620
24 S 0.643 0.113 0.113
25 S 0.854 0.386 0.386
26 S 0.877 0.877 0.877
27 S 0.887 0.356 0.887
28 S 0.887 0.887 0.356

Values from the calculation:
Density of states at the Fermi level (states/eV per atom): 0.37

Cr4CuNiSe8: PBEsol geometry, SCAN.

Cell: 7.177 7.177 7.177 Å, 60.00 60.00 60.00°
Atoms (fractional coordinates):
1 Cr 0.377 0.377 0.377
2 Cr 0.377 0.377 0.870
3 Cr 0.377 0.870 0.377
4 Cr 0.870 0.377 0.377
5 Cu 0.000 0.000 0.000
6 Ni 0.750 0.750 0.750
7 Se 0.133 0.133 0.133
8 Se 0.133 0.133 0.602
9 Se 0.133 0.602 0.133
10 Se 0.138 0.621 0.621
11 Se 0.602 0.133 0.133
12 Se 0.621 0.138 0.621
13 Se 0.621 0.621 0.138
14 Se 0.621 0.621 0.621

Values from the calculation:
Density of states at the Fermi level (states/eV per atom): 0.35

Cr3Cu2O12: PBEsol geometry, SCAN.

Cell: 8.450 8.838 14.446 Å, 90.00 124.83 90.00°
Atoms (fractional coordinates):
1 Cr 0.034 0.119 0.142
2 Cr 0.034 0.381 0.642
3 Cr 0.254 0.626 0.150
4 Cr 0.254 0.874 0.650
5 Cr 0.454 0.250 0.486
6 Cr 0.454 0.250 0.986
7 Cr 0.546 0.750 0.014
8 Cr 0.546 0.750 0.514
9 Cr 0.746 0.126 0.350
10 Cr 0.746 0.374 0.850
11 Cr 0.966 0.619 0.358
12 Cr 0.966 0.881 0.858
13 Cu 0.126 0.530 0.881
14 Cu 0.126 0.970 0.381
15 Cu 0.369 0.528 0.615
16 Cu 0.369 0.972 0.115
17 Cu 0.631 0.028 0.885
18 Cu 0.631 0.472 0.385
19 Cu 0.874 0.030 0.619
20 Cu 0.874 0.470 0.119
21 O 0.030 0.211 0.688
22 O 0.030 0.289 0.188
23 O 0.117 0.579 0.193
24 O 0.117 0.921 0.693
25 O 0.124 0.503 0.747
26 O 0.124 0.997 0.247
27 O 0.143 0.576 0.018
28 O 0.143 0.924 0.518
29 O 0.171 0.118 0.095
30 O 0.171 0.382 0.595
31 O 0.192 0.572 0.457
32 O 0.192 0.928 0.957
33 O 0.244 0.170 0.433
34 O 0.244 0.330 0.933
35 O 0.277 0.687 0.662
36 O 0.277 0.813 0.162
37 O 0.375 0.623 0.951
38 O 0.375 0.877 0.451
39 O 0.448 0.170 0.880
40 O 0.448 0.330 0.380
41 O 0.464 0.537 0.227
42 O 0.464 0.963 0.727
43 O 0.493 0.125 0.082
44 O 0.493 0.375 0.582
45 O 0.507 0.625 0.418
46 O 0.507 0.875 0.918
47 O 0.536 0.037 0.273
48 O 0.536 0.463 0.773
49 O 0.552 0.670 0.620
50 O 0.552 0.830 0.120
51 O 0.625 0.123 0.549
52 O 0.625 0.377 0.049
53 O 0.723 0.187 0.838
54 O 0.723 0.313 0.338
55 O 0.756 0.670 0.067
56 O 0.756 0.830 0.567
57 O 0.808 0.072 0.043
58 O 0.808 0.428 0.543
59 O 0.829 0.618 0.405
60 O 0.829 0.882 0.905
61 O 0.857 0.076 0.482
62 O 0.857 0.424 0.982
63 O 0.876 0.003 0.753
64 O 0.876 0.497 0.253
65 O 0.883 0.079 0.307
66 O 0.883 0.421 0.807
67 O 0.970 0.711 0.812
68 O 0.970 0.789 0.312

Cr2CuO7: PBEsol geometry, SCAN.

Cell: 10.033 8.128 10.031 Å, 90.00 93.10 90.00°
Atoms (fractional coordinates):
1 Cr 0.004 0.236 0.453
2 Cr 0.004 0.764 0.953
3 Cr 0.313 0.222 0.133
4 Cr 0.313 0.778 0.633
5 Cr 0.347 0.273 0.717
6 Cr 0.347 0.727 0.217
7 Cr 0.653 0.273 0.783
8 Cr 0.653 0.727 0.283
9 Cr 0.687 0.222 0.367
10 Cr 0.687 0.778 0.867
11 Cr 0.996 0.236 0.047
12 Cr 0.996 0.764 0.547
13 Cu 0.000 0.419 0.750
14 Cu 0.000 0.581 0.250
15 Cu 0.357 0.072 0.427
16 Cu 0.357 0.928 0.927
17 Cu 0.643 0.072 0.073
18 Cu 0.643 0.928 0.573
19 O 0.006 0.252 0.616
20 O 0.006 0.748 0.116
21 O 0.021 0.415 0.383
22 O 0.021 0.585 0.883
23 O 0.116 0.109 0.411
24 O 0.116 0.891 0.911
25 O 0.149 0.156 0.110
26 O 0.149 0.844 0.610
27 O 0.228 0.389 0.761
28 O 0.228 0.611 0.261
29 O 0.330 0.237 0.556
30 O 0.330 0.763 0.056
31 O 0.334 0.393 0.063
32 O 0.334 0.607 0.563
33 O 0.349 0.100 0.801
34 O 0.349 0.900 0.301
35 O 0.353 0.241 0.294
36 O 0.353 0.759 0.794
37 O 0.408 0.079 0.066
38 O 0.408 0.921 0.566
39 O 0.500 0.373 0.750
40 O 0.500 0.627 0.250
41 O 0.592 0.079 0.434
42 O 0.592 0.921 0.934
43 O 0.647 0.241 0.206
44 O 0.647 0.759 0.706
45 O 0.651 0.100 0.699
46 O 0.651 0.900 0.199
47 O 0.666 0.393 0.437
48 O 0.666 0.607 0.937
49 O 0.670 0.237 0.944
50 O 0.670 0.763 0.444
51 O 0.772 0.389 0.739
52 O 0.772 0.611 0.239
53 O 0.851 0.156 0.390
54 O 0.851 0.844 0.890
55 O 0.884 0.109 0.089
56 O 0.884 0.891 0.589
57 O 0.979 0.415 0.117
58 O 0.979 0.585 0.617
59 O 0.994 0.252 0.884
60 O 0.994 0.748 0.384

Cr2CuO4: PBEsol geometry, SCAN.

Cell: 5.826 5.826 5.826 Å, 60.00 60.00 60.00°
Atoms (fractional coordinates):
1 Cr 0.000 0.000 0.000
2 Cr 0.000 0.000 0.500
3 Cr 0.000 0.500 0.000
4 Cr 0.500 0.000 0.000
5 Cu 0.375 0.375 0.375
6 Cu 0.625 0.625 0.625
7 O 0.210 0.763 0.763
8 O 0.237 0.237 0.237
9 O 0.237 0.237 0.790
10 O 0.237 0.790 0.237
11 O 0.763 0.210 0.763
12 O 0.763 0.763 0.210
13 O 0.763 0.763 0.763
14 O 0.790 0.237 0.237

Values from the calculation:
Density of states at the Fermi level (states/eV per atom): 0.71

Cr2Cu5P4O18: PBEsol geometry, SCAN.

Cell: 7.186 7.186 8.249 Å, 109.17 109.17 52.22°
Atoms (fractional coordinates):
1 Cr 0.107 0.107 0.472
2 Cr 0.893 0.893 0.528
3 Cu 0.133 0.623 0.230
4 Cu 0.377 0.867 0.770
5 Cu 0.500 0.500 0.000
6 Cu 0.623 0.133 0.230
7 Cu 0.867 0.377 0.770
8 P 0.158 0.158 0.097
9 P 0.373 0.373 0.591
10 P 0.627 0.627 0.409
11 P 0.842 0.842 0.903
12 O 0.051 0.051 0.658
13 O 0.094 0.684 0.005
14 O 0.137 0.137 0.268
15 O 0.190 0.578 0.481
16 O 0.265 0.265 0.627
17 O 0.287 0.287 0.141
18 O 0.316 0.906 0.995
19 O 0.422 0.810 0.519
20 O 0.476 0.476 0.761
21 O 0.524 0.524 0.239
22 O 0.578 0.190 0.481
23 O 0.684 0.094 0.005
24 O 0.713 0.713 0.859
25 O 0.735 0.735 0.373
26 O 0.810 0.422 0.519
27 O 0.863 0.863 0.732
28 O 0.906 0.316 0.995
29 O 0.949 0.949 0.342

Values from the calculation:
Density of states at the Fermi level (states/eV per atom): 0.05

CrCu3P4O16: PBEsol geometry, SCAN.

Cell: 4.734 5.739 9.647 Å, 90.00 91.43 90.00°
Atoms (fractional coordinates):
1 Cr 0.000 0.000 0.000
2 Cu 0.102 0.500 0.557
3 Cu 0.449 0.500 0.066
4 Cu 0.616 0.000 0.504
5 P 0.157 0.000 0.685
6 P 0.441 0.000 0.186
7 P 0.637 0.500 0.376
8 P 0.963 0.500 0.870
9 O 0.220 0.000 0.846
10 O 0.268 0.200 0.108
11 O 0.268 0.800 0.108
12 O 0.284 0.500 0.891
13 O 0.308 0.210 0.618
14 O 0.308 0.790 0.618
15 O 0.318 0.500 0.394
16 O 0.388 0.000 0.340
17 O 0.690 0.500 0.220
18 O 0.753 0.000 0.153
19 O 0.801 0.294 0.449
20 O 0.801 0.706 0.449
21 O 0.831 0.281 0.947
22 O 0.831 0.719 0.947
23 O 0.835 0.000 0.670
24 O 0.874 0.500 0.719

Values from the calculation:
Density of states at the Fermi level (states/eV per atom): 0.23

Number 1: electronic total energy -13.3822 eV per atom. Number 2: electronic total energy -16.9598 eV per atom. Number 3: electronic total energy -16.1427 eV per atom. Number 4: electronic total energy -16.3004 eV per atom. Number 5: electronic total energy -16.9847 eV per atom. Number 6: electronic total energy -16.8105 eV per atom. Number 7: electronic total energy -15.9195 eV per atom. Number 8: electronic total energy -14.3968 eV per atom. Number 9: electronic total energy -13.8854 eV per atom. Number 10: electronic total energy -19.6766 eV per atom. Number 11: electronic total energy -10.8168 eV per atom. Number 12: electronic total energy -11.1125 eV per atom. Number 13: electronic total energy -13.0316 eV per atom. Number 14: electronic total energy -11.1470 eV per atom. Number 15: electronic total energy -10.4040 eV per atom.